A plane-wave DFT calculation with GGA-PBE was carried out for crystalline Pd2PtI at its relaxed geometry.

ΔE_f (raw)	315.5	meV per atom
calculated density	12.350	g/cm3
distance to the lowest polymorph of the same formula	14	meV per atom
size of the total moment	0.00	μB/f.u.

Lattice parameters (Å, degrees): 4.668 4.668 4.668 60.00 60.00 60.00
Element x y z (fractional)
I (0.000, 0.000, 0.000)
Pd (0.250, 0.250, 0.250)
Pd (0.750, 0.750, 0.750)
Pt (0.500, 0.500, 0.500)